Here is Ta2TlRh after structural relaxation from the Alexandria database. Energies are from PBE-GGA.

Results
- E above lowest polymorph (eV/f.u.) = 0.426
- energy of formation from the pure elements (eV/atom) = 0.176
- size of the total moment (Bohr magnetons per cell) = 0.00
- space group = No. 44

abc: 5.714 5.714 5.714
angles: 149.05 128.86 60.99
Positions (direct):
Ta 0.000 0.000 0.000
Ta 0.756 0.256 0.500
Tl 0.471 0.471 0.000
Rh 0.217 0.717 0.500